*A*
Compound: Cs2HfPt
Source: Alexandria via LeMat-Bulk
Functional: PBE
Structure: optimized geometry

a b c (Å): 8.350 8.350 8.350
angles (deg): 90.00 90.00 90.00
Space group Fm-3m (No. 225)
Inequivalent atoms, fractional coordinates:
1 Cs 0.250 0.250 0.250 x8
2 Hf 0.000 0.000 0.000 x4
3 Pt 0.000 0.000 0.500 x4

Output
* M_tot: 8.04 μB/cell
* N(E_F): 24.81 states/eV/cell

=====

*B*
Compound: Cs2HfPt
Source: Alexandria via LeMat-Bulk
Functional: PBE
Structure: optimized geometry

a b c (Å): 13.481 13.481 5.017
angles (deg): 90.00 90.00 90.00
Space group I-42d (No. 122)
Inequivalent atoms, fractional coordinates:
1 Cs 0.083 0.250 0.125 x8
2 Hf 0.000 0.000 0.500 x4
3 Pt 0.000 0.000 0.000 x4

Output
* M_tot: 0.00 μB/cell
* N(E_F): 19.05 states/eV/cell

=====

How do the energies compare? Relative to the most stable structure, in kJ/mol of atoms: *A* 82.7; *B* 0.0.